Tm3SiPb | PBE-GGA | optimized geometry

Lattice parameters (Å, degrees): 4.5450 6.7980 8.7735 90.00 90.00 90.00
Last column: nearest neighbours and their distance in Å.
Fractional positions:
Tm 0.7500 0.9985 0.6680  3 Si 2.89-2.91
Tm 0.2500 0.4985 0.3320  3 Si 2.89-2.91
Pb 0.2500 0.7500 0.8510  6 Tm 3.01-3.26
Pb 0.7500 0.2500 0.1490  6 Tm 3.01-3.26
Tm 0.2500 0.2500 0.9235  1 Si 2.84, 2 Pb 3.01
Si 0.2500 0.2500 0.5993  7 Tm 2.84-2.91
Tm 0.7500 0.7500 0.0765  1 Si 2.84, 2 Pb 3.01
Si 0.7500 0.7500 0.4007  7 Tm 2.84-2.91
Tm 0.2500 0.0015 0.3320  3 Si 2.89-2.91
Tm 0.7500 0.5015 0.6680  3 Si 2.89-2.91

Computed properties:
Fermi-level density of states: 6.4 states/eV per cell
Crystal system: orthorhombic
Space-group type: Pmmn, No. 59
E_form (uncorrected): -513 meV/atom

***

Tm7Si2Pb2 | PBE-GGA | optimized geometry

Lattice parameters (Å, degrees): 6.8448 6.8611 6.8448 90.00 102.36 90.00
Last column: nearest neighbours and their distance in Å.
Fractional positions:
Tm 0.4997 0.2558 0.0002  2 Si 2.78
Tm 0.0000 0.0000 0.0000  2 Si 2.93
Tm 0.4998 0.2424 0.5002  2 Si 2.92-2.93, 2 Pb 3.22
Pb 0.8136 0.5000 0.8136  6 Tm 3.19-3.22, 1 Pb 3.20
Tm 0.5003 0.7442 0.9998  2 Si 2.78
Pb 0.1864 0.5000 0.1864  6 Tm 3.19-3.22, 1 Pb 3.20
Si 0.2743 0.0000 0.7257  7 Tm 2.78-2.93
Tm 0.5002 0.7576 0.4998  2 Si 2.92-2.93, 2 Pb 3.22
Tm 0.0002 0.7442 0.4997  2 Si 2.78
Si 0.7257 0.0000 0.2743  7 Tm 2.78-2.93
Tm 0.9998 0.2558 0.5003  2 Si 2.78

Computed properties:
Fermi-level density of states: 13.8 states/eV per cell
Crystal system: orthorhombic
Space-group type: Cmmm, No. 65
E_form (uncorrected): -270 meV/atom

***

Tm8SiPb5 | PBE-GGA | optimized geometry

Lattice parameters (Å, degrees): 7.9468 7.9468 7.9468 109.73 108.96 109.73
Last column: nearest neighbours and their distance in Å.
Fractional positions:
Tm 0.4737 0.6040 0.2198  5 Pb 3.07-3.32, 1 Si 3.22, 1 Tm 3.44
Tm 0.6158 0.3960 0.8697  5 Pb 3.07-3.32, 1 Si 3.22, 1 Tm 3.44
Tm 0.9986 0.1259 0.7357  1 Si 2.91, 2 Pb 3.05-3.08
Tm 0.1273 0.7371 0.0014  1 Si 2.91, 2 Pb 3.05-3.08
Pb 0.9911 0.3702 0.1199  8 Tm 3.05-3.38
Tm 0.6098 0.8741 0.8727  1 Si 2.91, 2 Pb 3.05-3.08
Pb 0.8801 0.8712 0.2502  8 Tm 3.05-3.38
Pb 0.7498 0.6298 0.6209  8 Tm 3.05-3.38
Si 0.2500 0.5000 0.7500  8 Tm 2.91-3.22
Tm 0.7802 0.2539 0.3842  5 Pb 3.07-3.32, 1 Si 3.22, 1 Tm 3.44
Pb 0.3791 0.1288 0.0089  8 Tm 3.05-3.38
Tm 0.2643 0.2629 0.3902  1 Si 2.91, 2 Pb 3.05-3.08
Pb 0.5000 0.0000 0.5000  8 Tm 3.07-3.38
Tm 0.1303 0.7461 0.5263  5 Pb 3.07-3.32, 1 Si 3.22, 1 Tm 3.44

Computed properties:
Fermi-level density of states: 1.4 states/eV per cell
Crystal system: tetragonal
Space-group type: I-4, No. 82
E_form (uncorrected): -509 meV/atom

***

Tm5SiPb2 | PBE-GGA | optimized geometry

Lattice parameters (Å, degrees): 5.6142 8.1675 12.6222 90.00 90.00 110.10
Last column: nearest neighbours and their distance in Å.
Fractional positions:
Tm 0.0764 0.1528 0.3930  1 Si 2.72, 1 Pb 2.99
Si 0.7912 0.5824 0.7500  6 Tm 2.72-2.94
Tm 0.3051 0.6103 0.7500  2 Si 2.82
Pb 0.1282 0.2563 0.6211  5 Tm 2.99-3.16, 1 Pb 3.25
Tm 0.6949 0.3897 0.2500  2 Si 2.82
Tm 0.3037 0.6074 0.4523  1 Si 2.94, 2 Pb 3.14
Pb 0.1282 0.2563 0.8789  5 Tm 2.99-3.16, 1 Pb 3.25
Tm 0.0764 0.1528 0.1070  1 Si 2.72, 1 Pb 2.99
Si 0.2088 0.4176 0.2500  6 Tm 2.72-2.94
Tm 0.6963 0.3926 0.5477  1 Si 2.94, 2 Pb 3.14
Tm 0.9236 0.8472 0.6070  1 Si 2.72, 1 Pb 2.99
Tm 0.9236 0.8472 0.8930  1 Si 2.72, 1 Pb 2.99
Pb 0.8718 0.7437 0.3789  5 Tm 2.99-3.16, 1 Pb 3.25
Tm 0.3037 0.6074 0.0477  1 Si 2.94, 2 Pb 3.14
Pb 0.8718 0.7437 0.1211  5 Tm 2.99-3.16, 1 Pb 3.25
Tm 0.6963 0.3926 0.9523  1 Si 2.94, 2 Pb 3.14

Computed properties:
Fermi-level density of states: 16.0 states/eV per cell
Crystal system: orthorhombic
Space-group type: Cmcm, No. 63
E_form (uncorrected): -26 meV/atom

***

Tm8SiPb2 | PBE-GGA | optimized geometry

Lattice parameters (Å, degrees): 4.9237 6.6400 9.9919 103.44 104.26 90.00
Last column: nearest neighbours and their distance in Å.
Fractional positions:
Tm 0.2186 0.3277 0.4372  3 Pb 3.16-3.28, 4 Tm 3.32-3.38
Tm 0.0215 0.7763 0.0430  2 Si 2.96, 1 Pb 3.13, 1 Tm 3.27
Si 0.5000 0.0000 0.0000  8 Tm 2.85-3.14
Tm 0.4122 0.5367 0.8244  1 Si 3.14, 3 Tm 3.39-3.49, 2 Pb 3.42
Tm 0.9785 0.2237 0.9570  2 Si 2.96, 1 Pb 3.13, 1 Tm 3.27
Tm 0.6480 0.0086 0.2959  1 Si 2.85, 2 Pb 3.09
Pb 0.1821 0.7673 0.3642  9 Tm 3.09-3.42
Pb 0.8179 0.2327 0.6358  9 Tm 3.09-3.42
Tm 0.5878 0.4633 0.1756  1 Si 3.14, 3 Tm 3.39-3.49, 2 Pb 3.42
Tm 0.7814 0.6723 0.5628  3 Pb 3.16-3.28, 4 Tm 3.32-3.38
Tm 0.3520 0.9914 0.7041  1 Si 2.85, 2 Pb 3.09

Computed properties:
Fermi-level density of states: 10.9 states/eV per cell
Crystal system: monoclinic
Space-group type: C2/m, No. 12
E_form (uncorrected): -268 meV/atom

***

Tm5Si2Pb2 | PBE-GGA | optimized geometry

Lattice parameters (Å, degrees): 7.7878 7.7226 8.5397 90.00 62.87 90.00
Last column: nearest neighbours and their distance in Å.
Fractional positions:
Pb 0.2137 0.0000 0.5726  7 Tm 3.10-3.25
Tm 0.7052 0.3300 0.2475  3 Si 2.89-3.02, 3 Pb 3.10-3.19
Tm 0.0000 0.0000 0.0000  4 Si 3.03-3.06, 2 Pb 3.25
Tm 0.0473 0.6700 0.2475  3 Si 2.89-3.02, 3 Pb 3.10-3.19
Tm 0.5473 0.8300 0.2475  3 Si 2.89-3.02, 3 Pb 3.10-3.19
Pb 0.7137 0.5000 0.5726  7 Tm 3.10-3.25
Tm 0.9527 0.3300 0.7525  3 Si 2.89-3.02, 3 Pb 3.10-3.19
Tm 0.4527 0.1700 0.7525  3 Si 2.89-3.02, 3 Pb 3.10-3.19
Pb 0.7863 0.0000 0.4274  7 Tm 3.10-3.25
Pb 0.2863 0.5000 0.4274  7 Tm 3.10-3.25
Si 0.1294 0.3698 0.0000  1 Si 2.85, 8 Tm 2.89-3.06
Si 0.6294 0.1302 0.0000  1 Si 2.85, 8 Tm 2.89-3.06
Si 0.3706 0.8698 0.0000  1 Si 2.85, 8 Tm 2.89-3.06
Tm 0.5000 0.5000 0.0000  4 Si 3.03-3.06, 2 Pb 3.25
Tm 0.2948 0.6700 0.7525  3 Si 2.89-3.02, 3 Pb 3.10-3.19
Tm 0.2052 0.1700 0.2475  3 Si 2.89-3.02, 3 Pb 3.10-3.19
Si 0.8706 0.6302 0.0000  1 Si 2.85, 8 Tm 2.89-3.06
Tm 0.7948 0.8300 0.7525  3 Si 2.89-3.02, 3 Pb 3.10-3.19

Computed properties:
Fermi-level density of states: 9.1 states/eV per cell
Crystal system: orthorhombic
Space-group type: Cmce, No. 64
E_form (uncorrected): -625 meV/atom

***

Tm2SiPb | PBE-GGA | optimized geometry

Lattice parameters (Å, degrees): 3.3620 3.3620 8.4918 90.00 90.00 90.00
Last column: nearest neighbours and their distance in Å.
Fractional positions:
Tm 0.0000 0.0000 0.7869  4 Si 2.99
Tm 0.0000 0.0000 0.2131  4 Si 2.99
Pb 0.5000 0.5000 0.5000  4 Pb 3.36, 8 Tm 3.40
Si 0.5000 0.5000 0.0000  8 Tm 2.99

Computed properties:
Fermi-level density of states: 2.7 states/eV per cell
Crystal system: tetragonal
Space-group type: P4/mmm, No. 123
E_form (uncorrected): -443 meV/atom

***

V2SiPb | PBE-GGA | optimized geometry

Lattice parameters (Å, degrees): 4.1507 4.1507 9.4731 77.34 77.34 90.00
Last column: nearest neighbours and their distance in Å.
Fractional positions:
V 0.3750 0.5145 0.7500  2 V 2.27, 2 Si 2.52
V 0.8750 0.7355 0.7500  2 V 2.27, 2 Si 2.52
Pb 0.0000 0.0000 0.0000  4 Si 2.94, 4 V 2.96
V 0.4855 0.1250 0.2500  2 V 2.27, 2 Si 2.52
V 0.2645 0.6250 0.2500  2 V 2.27, 2 Si 2.52
Pb 0.7500 0.2500 0.5000  4 Si 2.94, 4 V 2.96
Si 0.5000 0.5000 0.0000  4 V 2.52
Si 0.2500 0.7500 0.5000  4 V 2.52

Computed properties:
Fermi-level density of states: 7.1 states/eV per cell
Crystal system: tetragonal
Space-group type: I-42d, No. 122
E_form (uncorrected): 615 meV/atom

***

VSiPb3 | PBE-GGA | optimized geometry

Lattice parameters (Å, degrees): 5.3860 5.3860 5.3860 90.00 90.00 90.00
Last column: nearest neighbours and their distance in Å.
Fractional positions:
Pb 0.0000 0.5000 0.0000  2 Si 2.69
Pb 0.0000 0.0000 0.5000  2 Si 2.69
V 0.5000 0.5000 0.5000  12 Pb 3.81
Pb 0.5000 0.0000 0.0000  2 Si 2.69
Si 0.0000 0.0000 0.0000  6 Pb 2.69

Computed properties:
Fermi-level density of states: 9.4 states/eV per cell
Crystal system: cubic
Space-group type: Pm-3m, No. 221
E_form (uncorrected): 1017 meV/atom

***

VSi3Pb | PBE-GGA | optimized geometry

Lattice parameters (Å, degrees): 4.6896 4.6896 4.6896 90.00 90.00 90.00
Last column: nearest neighbours and their distance in Å.
Fractional positions:
Si 0.0000 0.0000 0.5000  2 V 2.34
Si 0.5000 0.0000 0.0000  2 V 2.34
Pb 0.5000 0.5000 0.5000  12 Si 3.32
Si 0.0000 0.5000 0.0000  2 V 2.34
V 0.0000 0.0000 0.0000  6 Si 2.34

Computed properties:
Fermi-level density of states: 2.9 states/eV per cell
Crystal system: cubic
Space-group type: Pm-3m, No. 221
E_form (uncorrected): 407 meV/atom

***

V2SiPb | PBE-GGA | optimized geometry

Lattice parameters (Å, degrees): 4.5067 4.5067 4.5067 60.00 60.00 60.00
Last column: nearest neighbours and their distance in Å.
Fractional positions:
Si 0.0000 0.0000 0.0000  8 V 2.76
V 0.7500 0.7500 0.7500  4 Pb 2.76, 4 Si 2.76
V 0.2500 0.2500 0.2500  4 Pb 2.76, 4 Si 2.76
Pb 0.5000 0.5000 0.5000  8 V 2.76

Computed properties:
Fermi-level density of states: 6.9 states/eV per cell
Crystal system: cubic
Space-group type: Fm-3m, No. 225
E_form (uncorrected): 450 meV/atom

***

VSiPb3 | PBE-GGA | optimized geometry

Lattice parameters (Å, degrees): 5.2899 5.2899 5.2899 90.00 90.00 90.00
Last column: nearest neighbours and their distance in Å.
Fractional positions:
Pb 0.0000 0.0000 0.5000  2 V 2.64
Si 0.5000 0.5000 0.5000  12 Pb 3.74
Pb 0.0000 0.5000 0.0000  2 V 2.64
Pb 0.5000 0.0000 0.0000  2 V 2.64
V 0.0000 0.0000 0.0000  6 Pb 2.64

Computed properties:
Fermi-level density of states: 6.1 states/eV per cell
Crystal system: cubic
Space-group type: Pm-3m, No. 221
E_form (uncorrected): 791 meV/atom

***

VSiPb2 | PBE-GGA | optimized geometry

Lattice parameters (Å, degrees): 7.9062 7.9062 6.3929 51.80 51.80 90.00
Last column: nearest neighbours and their distance in Å.
Fractional positions:
V 0.7500 0.2500 0.5000  4 Pb 3.00, 2 Si 3.10
Si 0.5000 0.5000 0.0000  4 Pb 2.80, 2 V 3.10
Pb 0.8750 0.8567 0.7500  2 Si 2.80, 2 V 3.00, 2 Pb 3.11
Pb 0.3750 0.3933 0.7500  2 Si 2.80, 2 V 3.00, 2 Pb 3.11
Pb 0.1433 0.6250 0.2500  2 Si 2.80, 2 V 3.00, 2 Pb 3.11
V 0.0000 0.0000 0.0000  4 Pb 3.00, 2 Si 3.10
Pb 0.6067 0.1250 0.2500  2 Si 2.80, 2 V 3.00, 2 Pb 3.11
Si 0.2500 0.7500 0.5000  4 Pb 2.80, 2 V 3.10

Computed properties:
Fermi-level density of states: 7.7 states/eV per cell
Crystal system: tetragonal
Space-group type: I-42d, No. 122
E_form (uncorrected): 713 meV/atom